No. 1
Entry from the Alexandria database: a geometry-optimized NiHg3F7 structure (PBE+U).

Computed properties:
Calculated volume = 15.34 A^3/atom
Raw total energy = -3.05 eV per atom
Crystal system = orthorhombic
Theoretical density = 7.81 g cm⁻³
Space-group type = C222_1 (20)

Cell lengths 6.7724, 6.7724, 7.7071 Å; angles 90.00, 90.00, 107.34 degrees
Last column: nearest neighbours and their distance in Å.
Element x y z (fractional)
Ni 0.0000 0.0000 0.0000  6 F 2.02-2.05
Ni 0.0000 0.0000 0.5000  6 F 2.02-2.05
Hg 0.0055 0.4599 0.2492  6 F 2.35-2.43
Hg 0.4599 0.0055 0.7508  6 F 2.35-2.43
Hg 0.4961 0.4961 0.5000  4 F 2.44-2.47
Hg 0.5039 0.5039 0.0000  4 F 2.44-2.47
Hg 0.5401 0.9945 0.2508  6 F 2.35-2.43
Hg 0.9945 0.5401 0.7492  6 F 2.35-2.43
F 0.0558 0.9442 0.7500  2 Ni 2.02
F 0.0587 0.3129 0.9722  1 Ni 2.05
F 0.0607 0.3136 0.5267  1 Ni 2.05
F 0.3129 0.0587 0.0278  1 Ni 2.05
F 0.3136 0.0607 0.4733  1 Ni 2.05
F 0.3577 0.6423 0.7500  4 Hg 2.35-2.47
F 0.3621 0.6379 0.2500  4 Hg 2.36-2.44
F 0.6379 0.3621 0.7500  4 Hg 2.36-2.44
F 0.6423 0.3577 0.2500  4 Hg 2.35-2.47
F 0.6864 0.9393 0.9733  1 Ni 2.05
F 0.6871 0.9413 0.5278  1 Ni 2.05
F 0.9393 0.6864 0.0267  1 Ni 2.05
F 0.9413 0.6871 0.4722  1 Ni 2.05
F 0.9442 0.0558 0.2500  2 Ni 2.02

---

No. 2
Entry from the Alexandria database: a geometry-optimized Ni2Hg2OF6 structure (PBE+U).

Computed properties:
Calculated volume = 13.18 A^3/atom
Raw total energy = -3.67 eV per atom
Crystal system = cubic
Theoretical density = 7.43 g cm⁻³
Space-group type = Fd-3m (227)

Cell lengths 7.4294, 7.4294, 7.4294 Å; angles 60.00, 60.00, 60.00 degrees
Last column: nearest neighbours and their distance in Å.
Element x y z (fractional)
Ni 0.0000 0.0000 0.0000  6 F 2.01
Ni 0.0000 0.0000 0.5000  6 F 2.01
Ni 0.0000 0.5000 0.0000  6 F 2.01
Ni 0.5000 0.0000 0.0000  6 F 2.01
Hg 0.0000 0.5000 0.5000  2 O 2.27
Hg 0.5000 0.0000 0.5000  2 O 2.27
Hg 0.5000 0.5000 0.0000  2 O 2.27
Hg 0.5000 0.5000 0.5000  2 O 2.27
O 0.3750 0.3750 0.3750  4 Hg 2.27
O 0.6250 0.6250 0.6250  4 Hg 2.27
F 0.0732 0.0732 0.6768  2 Ni 2.01
F 0.0732 0.6768 0.0732  2 Ni 2.01
F 0.0732 0.6768 0.6768  2 Ni 2.01
F 0.3232 0.3232 0.9268  2 Ni 2.01
F 0.3232 0.9268 0.3232  2 Ni 2.01
F 0.3232 0.9268 0.9268  2 Ni 2.01
F 0.6768 0.0732 0.0732  2 Ni 2.01
F 0.6768 0.0732 0.6768  2 Ni 2.01
F 0.6768 0.6768 0.0732  2 Ni 2.01
F 0.9268 0.3232 0.3232  2 Ni 2.01
F 0.9268 0.3232 0.9268  2 Ni 2.01
F 0.9268 0.9268 0.3232  2 Ni 2.01

---

No. 3
Entry from the Alexandria database: a geometry-optimized Ni2HgPbF8 structure (PBE+U).

Computed properties:
Calculated volume = 15.00 A^3/atom
Raw total energy = -3.97 eV per atom
Crystal system = triclinic
Theoretical density = 6.25 g cm⁻³
Space-group type = P-1 (2)

Cell lengths 4.3613, 5.3961, 7.7976 Å; angles 83.77, 88.27, 80.71 degrees
Last column: nearest neighbours and their distance in Å.
Element x y z (fractional)
Ni 0.0197 0.0356 0.2944  5 F 1.96-2.05
Ni 0.9803 0.9644 0.7056  5 F 1.96-2.05
Hg 0.5000 0.5000 0.5000  4 F 2.26-2.36
Pb 0.5000 0.5000 0.0000  8 F 2.53-2.69
F 0.0688 0.2422 0.0750  1 Ni 1.96
F 0.0844 0.2167 0.5057  2 Ni 2.05
F 0.3753 0.7728 0.2462  1 Ni 1.98
F 0.4043 0.7651 0.7080  1 Ni 1.98
F 0.5957 0.2349 0.2920  1 Ni 1.98
F 0.6247 0.2272 0.7538  1 Ni 1.98
F 0.9156 0.7833 0.4943  2 Ni 2.05
F 0.9312 0.7578 0.9250  1 Ni 1.96

---

No. 4
Entry from the Alexandria database: a geometry-optimized NiHgPbF6 structure (PBE+U).

Computed properties:
Calculated volume = 16.32 A^3/atom
Raw total energy = -3.97 eV per atom
Crystal system = trigonal
Theoretical density = 6.56 g cm⁻³
Space-group type = P-31c (163)

Cell lengths 5.7818, 5.7818, 10.1465 Å; angles 90.00, 90.00, 120.00 degrees
Last column: nearest neighbours and their distance in Å.
Element x y z (fractional)
Ni 0.3333 0.6667 0.2500  6 F 2.04
Ni 0.6667 0.3333 0.7500  6 F 2.04
Hg 0.3333 0.6667 0.7500  6 F 2.34
Hg 0.6667 0.3333 0.2500  6 F 2.34
Pb 0.0000 0.0000 0.0000  6 F 2.49
Pb 0.0000 0.0000 0.5000  6 F 2.49
F 0.0400 0.3741 0.1385  1 Ni 2.04
F 0.0400 0.6659 0.3615  1 Ni 2.04
F 0.3341 0.3741 0.3615  1 Ni 2.04
F 0.3341 0.9600 0.1385  1 Ni 2.04
F 0.3741 0.0400 0.6385  1 Ni 2.04
F 0.3741 0.3341 0.8615  1 Ni 2.04
F 0.6259 0.6659 0.1385  1 Ni 2.04
F 0.6259 0.9600 0.3615  1 Ni 2.04
F 0.6659 0.0400 0.8615  1 Ni 2.04
F 0.6659 0.6259 0.6385  1 Ni 2.04
F 0.9600 0.3341 0.6385  1 Ni 2.04
F 0.9600 0.6259 0.8615  1 Ni 2.04

---

No. 5
Entry from the Alexandria database: a geometry-optimized NiHgPbF2 structure (PBE+U).

Computed properties:
Calculated volume = 19.03 A^3/atom
Raw total energy = -3.01 eV per atom
Crystal system = tetragonal
Theoretical density = 8.80 g cm⁻³
Space-group type = P4/mmm (123)

Cell lengths 4.1669, 4.1669, 5.4813 Å; angles 90.00, 90.00, 90.00 degrees
Last column: nearest neighbours and their distance in Å.
Element x y z (fractional)
Ni 0.0000 0.0000 0.0000  4 F 2.08
Hg 0.0000 0.0000 0.5000  2 Ni 2.74, 4 Pb 2.95
Pb 0.5000 0.5000 0.5000  4 Hg 2.95
F 0.0000 0.5000 0.0000  2 Ni 2.08
F 0.5000 0.0000 0.0000  2 Ni 2.08

---

No. 6
Entry from the Alexandria database: a geometry-optimized NiHg2PbF8 structure (PBE+U).

Computed properties:
Calculated volume = 16.98 A^3/atom
Raw total energy = -3.52 eV per atom
Crystal system = tetragonal
Theoretical density = 6.68 g cm⁻³
Space-group type = I-4m2 (119)

Cell lengths 6.4332, 6.4332, 6.4332 Å; angles 112.08, 112.08, 104.37 degrees
Last column: nearest neighbours and their distance in Å.
Element x y z (fractional)
Ni 0.0000 0.0000 0.0000  4 F 2.09
Hg 0.2500 0.7500 0.5000  4 F 2.25
Hg 0.5000 0.5000 0.0000  4 F 2.19
Pb 0.7500 0.2500 0.5000  4 F 2.36
F 0.0398 0.3280 0.2882  1 Ni 2.09, 1 Hg 2.25
F 0.0398 0.7516 0.7118  1 Ni 2.09, 1 Hg 2.25
F 0.0994 0.2712 0.8281  1 Hg 2.19, 1 Pb 2.36
F 0.2484 0.9602 0.2882  1 Ni 2.09, 1 Hg 2.25
F 0.4431 0.2712 0.1719  1 Hg 2.19, 1 Pb 2.36
F 0.6720 0.9602 0.7118  1 Ni 2.09, 1 Hg 2.25
F 0.7288 0.5569 0.8281  1 Hg 2.19, 1 Pb 2.36
F 0.7288 0.9006 0.1719  1 Hg 2.19, 1 Pb 2.36